1.
This record from Alexandria via LeMat-Bulk describes a relaxed structure of Hf4CO. The functional is PBE. Values from VASP.

```
&SYSTEM
  ibrav = 0, nat = 12, ntyp = 3
/
ATOMIC_SPECIES
Hf 178.49 Hf.upf
C 12.01 C.upf
O 16.00 O.upf
CELL_PARAMETERS angstrom
6.311 -0.186 0.000
-2.718 5.698 0.000
-1.796 -2.756 5.388
ATOMIC_POSITIONS crystal
Hf 0.251 0.956 0.705
Hf 0.749 0.455 0.706
Hf 0.706 0.501 0.205
Hf 0.205 0.999 0.206
Hf 0.295 0.501 0.795
Hf 0.793 0.999 0.794
Hf 0.749 0.043 0.294
Hf 0.251 0.545 0.295
C 0.746 0.746 0.000
C 0.496 0.996 0.500
O 0.254 0.254 0.000
O 0.004 0.504 0.500
```

Summary:
- Calculated density: 12.90 g/cm³
- Energy above the most stable polymorph in this dataset: 0.0084 eV/atom
- E_form (uncorrected): -7.1 eV/f.u.
- E_tot: -10.190 eV per atom

2.
This record from Alexandria via LeMat-Bulk describes a relaxed structure of CeErGaIr. The functional is PBE. Values from VASP.

```
&SYSTEM
  ibrav = 0, nat = 4, ntyp = 4
/
ATOMIC_SPECIES
Ce 140.12 Ce.upf
Er 167.26 Er.upf
Ga 69.72 Ga.upf
Ir 192.22 Ir.upf
CELL_PARAMETERS angstrom
4.130 0.000 0.000
0.000 4.426 0.000
-2.065 0.000 4.976
ATOMIC_POSITIONS crystal
Ce 0.148 0.000 0.296
Er 0.862 0.500 0.724
Ga 0.569 0.500 0.139
Ir 0.421 0.000 0.841
```

Summary:
- Calculated density: 10.39 g/cm³
- Calculated formation energy: -2.78 eV/f.u.
- Energy above the most stable polymorph in this dataset: 0.0000 eV/atom
- E_tot: -6.290 eV per atom

3.
This record from Alexandria via LeMat-Bulk describes a relaxed structure of Pm4Sn2I3. The functional is PBE. Values from VASP.

```
&SYSTEM
  ibrav = 0, nat = 9, ntyp = 3
/
ATOMIC_SPECIES
Pm 145.00 Pm.upf
Sn 118.71 Sn.upf
I 126.90 I.upf
CELL_PARAMETERS angstrom
4.509 0.000 0.003
-2.254 3.905 -0.003
-0.006 0.004 18.847
ATOMIC_POSITIONS crystal
Pm 0.334 0.666 0.887
Pm 0.000 0.000 0.293
Pm 0.000 0.000 0.707
Pm 0.666 0.334 0.113
Sn 0.667 0.333 0.800
Sn 0.333 0.667 0.200
I 0.666 0.334 0.397
I 0.000 0.000 0.000
I 0.334 0.666 0.603
```

Summary:
- Calculated density: 6.00 g/cm³
- Energy above the most stable polymorph in this dataset: 0.0000 eV/atom
- E_form (uncorrected): -9.2 eV/f.u.
- E_tot: -4.537 eV per atom

4.
This record from Alexandria via LeMat-Bulk describes a relaxed structure of Na2LiGaH6. The functional is PBE. Values from VASP.

```
&SYSTEM
  ibrav = 0, nat = 10, ntyp = 4
/
ATOMIC_SPECIES
Na 22.99 Na.upf
Li 6.94 Li.upf
Ga 69.72 Ga.upf
H 1.01 H.upf
CELL_PARAMETERS angstrom
4.010 0.000 0.000
0.000 5.093 0.000
0.000 0.000 5.093
ATOMIC_POSITIONS crystal
Na 0.099 0.500 0.000
Na 0.099 0.000 0.500
Li 0.636 0.500 0.500
Ga 0.595 0.000 0.000
H 0.671 0.235 0.235
H 0.671 0.235 0.765
H 0.147 0.500 0.500
H 0.184 0.000 0.000
H 0.671 0.765 0.765
H 0.671 0.765 0.235
```

Summary:
- Calculated density: 2.06 g/cm³
- E_tot: -2.873 eV per atom

5.
This record from Alexandria via LeMat-Bulk describes a relaxed structure of Eu2CN2Cl2. The functional is PBE. Values from VASP.

```
&SYSTEM
  ibrav = 0, nat = 7, ntyp = 4
/
ATOMIC_SPECIES
Eu 151.96 Eu.upf
C 12.01 C.upf
N 14.01 N.upf
Cl 35.45 Cl.upf
CELL_PARAMETERS angstrom
5.274 0.002 -0.001
3.586 3.868 -0.001
0.948 0.414 7.180
ATOMIC_POSITIONS crystal
Eu 0.682 0.682 0.729
Eu 0.318 0.318 0.271
C 0.000 0.000 0.500
N 0.884 0.884 0.446
N 0.116 0.116 0.554
Cl 0.371 0.371 0.852
Cl 0.629 0.629 0.148
```

Summary:
- Calculated density: 4.70 g/cm³
- E_form (uncorrected): -10.6 eV/f.u.
- E_tot: -8.673 eV per atom

6.
This record from Alexandria via LeMat-Bulk describes a relaxed structure of Cs2HfAs. The functional is PBE. Values from VASP.

```
&SYSTEM
  ibrav = 0, nat = 8, ntyp = 3
/
ATOMIC_SPECIES
Cs 132.91 Cs.upf
Hf 178.49 Hf.upf
As 74.92 As.upf
CELL_PARAMETERS angstrom
-6.943 6.943 2.576
6.943 -6.943 2.576
6.943 6.943 -2.576
ATOMIC_POSITIONS crystal
Cs 0.706 0.375 0.831
Cs 0.544 0.875 0.169
Cs 0.125 0.294 0.669
Cs 0.625 0.456 0.331
Hf 0.000 0.000 0.000
Hf 0.250 0.750 0.500
As 0.500 0.500 0.000
As 0.750 0.250 0.500
```

Summary:
- Calculated density: 3.47 g/cm³
- Calculated formation energy: 0.96 eV/f.u.
- E_tot: -3.838 eV per atom

7.
This record from Alexandria via LeMat-Bulk describes a relaxed structure of LiGe3I. The functional is PBE. Values from VASP.

```
&SYSTEM
  ibrav = 0, nat = 5, ntyp = 3
/
ATOMIC_SPECIES
I 126.90 I.upf
Ge 72.64 Ge.upf
Li 6.94 Li.upf
CELL_PARAMETERS angstrom
-4.653 -1.249 -0.598
1.383 -4.074 -2.249
0.077 -2.326 4.261
ATOMIC_POSITIONS crystal
I 0.500 0.500 0.500
Ge 0.000 0.500 0.000
Ge 0.000 0.000 0.500
Ge 0.500 0.000 0.000
Li 0.000 0.000 0.000
```

Summary:
- Calculated density: 5.10 g/cm³
- Energy above the most stable polymorph in this dataset: 0.0000 eV/atom
- E_form (uncorrected): 2.5 eV/f.u.
- E_tot: -2.968 eV per atom

8.
This record from Alexandria via LeMat-Bulk describes a relaxed structure of As2PPdBr. The functional is PBE. Values from VASP.

```
&SYSTEM
  ibrav = 0, nat = 5, ntyp = 4
/
ATOMIC_SPECIES
P 30.97 P.upf
As 74.92 As.upf
Br 79.90 Br.upf
Pd 106.42 Pd.upf
CELL_PARAMETERS angstrom
-1.758 3.223 -3.039
-3.916 0.398 2.687
2.148 3.618 2.595
ATOMIC_POSITIONS crystal
P 0.000 0.000 0.000
As 0.000 0.500 0.000
As 0.500 0.000 0.000
Br 0.000 0.000 0.500
Pd 0.500 0.500 0.500
```

Summary:
- Calculated density: 5.43 g/cm³
- Energy above the most stable polymorph in this dataset: 0.0000 eV/atom
- E_form (uncorrected): 4.0 eV/f.u.
- E_tot: -3.515 eV per atom

9.
This record from Alexandria via LeMat-Bulk describes a relaxed structure of AlPPt2. The functional is PBE. Values from VASP.

```
&SYSTEM
  ibrav = 0, nat = 4, ntyp = 3
/
ATOMIC_SPECIES
P 30.97 P.upf
Al 26.98 Al.upf
Pt 195.08 Pt.upf
CELL_PARAMETERS angstrom
-3.278 0.276 2.826
-1.022 -1.396 3.977
1.421 3.845 2.799
ATOMIC_POSITIONS crystal
P 0.250 0.250 0.250
Al 0.750 0.750 0.750
Pt 0.002 0.002 0.999
Pt 0.498 0.498 0.501
```

Summary:
- Calculated density: 12.45 g/cm³
- Calculated formation energy: -1.73 eV/f.u.
- Energy above the most stable polymorph in this dataset: 0.1566 eV/atom
- E_tot: -5.742 eV per atom

10.
This record from Alexandria via LeMat-Bulk describes a relaxed structure of AcAs2Pb. The functional is PBE. Values from VASP.

```
&SYSTEM
  ibrav = 0, nat = 4, ntyp = 3
/
ATOMIC_SPECIES
Pb 207.20 Pb.upf
Ac 227.00 Ac.upf
As 74.92 As.upf
CELL_PARAMETERS angstrom
4.098 0.000 0.000
0.000 5.128 0.000
0.000 0.000 5.128
ATOMIC_POSITIONS crystal
Pb 0.500 0.000 0.000
Ac 0.500 0.500 0.500
As 0.000 0.000 0.500
As 0.000 0.500 0.000
```

Summary:
- Calculated density: 9.00 g/cm³
- Calculated formation energy: -2.44 eV/f.u.
- Energy above the most stable polymorph in this dataset: 0.0000 eV/atom
- E_tot: -4.889 eV per atom

11.
This record from Alexandria via LeMat-Bulk describes a relaxed structure of CsRbPtPb2. The functional is PBE. Values from VASP.

```
&SYSTEM
  ibrav = 0, nat = 5, ntyp = 4
/
ATOMIC_SPECIES
Pb 207.20 Pb.upf
Cs 132.91 Cs.upf
Rb 85.47 Rb.upf
Pt 195.08 Pt.upf
CELL_PARAMETERS angstrom
5.527 0.000 0.000
0.000 5.527 0.000
0.000 0.000 6.446
ATOMIC_POSITIONS crystal
Pb 0.000 0.500 0.000
Pb 0.500 0.000 0.000
Cs 0.500 0.500 0.500
Rb 0.000 0.000 0.500
Pt 0.000 0.000 0.000
```

Summary:
- Calculated density: 6.98 g/cm³
- Calculated formation energy: -0.15 eV/f.u.
- E_tot: -3.087 eV per atom

12.
This record from Alexandria via LeMat-Bulk describes a relaxed structure of TaPRu2. The functional is PBE. Values from VASP.

```
&SYSTEM
  ibrav = 0, nat = 4, ntyp = 3
/
ATOMIC_SPECIES
Ta 180.95 Ta.upf
P 30.97 P.upf
Ru 101.07 Ru.upf
CELL_PARAMETERS angstrom
-1.861 1.861 4.149
1.861 -1.861 4.149
1.861 1.861 -4.149
ATOMIC_POSITIONS crystal
Ta 0.500 0.500 0.000
P 0.750 0.250 0.500
Ru 0.000 0.000 0.000
Ru 0.250 0.750 0.500
```

Summary:
- Calculated density: 11.96 g/cm³
- Calculated formation energy: -0.73 eV/f.u.
- E_tot: -9.136 eV per atom

Question: What is the formula in the sixth record?
Answer: Cs2HfAs

Question: Which formula does entry 2 have?
Answer: CeErGaIr

Question: The lowest calculated density belongs to which entry?
Answer: Na2LiGaH6